[1]
The following is a GGA-PBEsol calculation of a geometry-optimized Sc2Ga2Sn structure, from Alexandria via LeMat-Bulk.

Output
Total DFT energy (no corrections): -54.6 eV/cell
Total magnetization: 0.000 μB/atom
Formation energy from the elements: -0.626 eV per atom

Cell lengths 6.919, 6.919, 4.035 Å; angles 90.00, 90.00, 90.00 degrees
Space group P4/mbm (No. 127)
One atom of each set of equivalent atoms:
1 Sc 0.172 0.328 0.000 x4
2 Ga 0.124 0.624 0.500 x4
3 Sn 0.000 0.000 0.500 x2


[2]
The following is a GGA-PBEsol calculation of a geometry-optimized CsMgSe3 structure, from Alexandria via LeMat-Bulk.

Output
Total DFT energy (no corrections): -10.0 eV/cell
Total magnetization: 0.000 μB/atom

Cell lengths 5.629, 5.629, 5.629 Å; angles 90.00, 90.00, 90.00 degrees
Space group Pm-3m (No. 221)
One atom of each set of equivalent atoms:
1 Cs 0.000 0.000 0.000 x1
2 Mg 0.500 0.500 0.500 x1
3 Se 0.000 0.000 0.500 x3